(1)
The following is a PBE calculation of crystalline K4Dy3GaS8 at its relaxed geometry, from Alexandria via LeMat-Bulk.

a b c (Å): 7.9659 8.6847 7.9675
angles (deg): 117.31 119.99 90.00
With the nearest neighbours (Å) after each atom.
Atoms (fractional coordinates):
1 K 0.5000 0.0000 0.0000  6 S 3.29-3.30
2 K 0.5000 0.0000 0.5000  6 S 3.17
3 K 0.0000 0.0000 0.0000  6 S 3.17
4 K 0.0000 0.0000 0.5000  6 S 3.17
5 Dy 0.5000 0.5000 0.0000  6 S 2.74-2.77
6 Dy 0.5000 0.5000 0.5000  6 S 2.74-2.77
7 Dy 0.0000 0.5000 0.5000  6 S 2.74-2.77
8 Ga 0.0000 0.5000 0.0000  6 S 2.61-2.62
9 S 0.2232 0.6954 0.9722  1 Ga 2.61, 2 Dy 2.77
10 S 0.2236 0.6957 0.4472  1 Ga 2.62, 2 Dy 2.76
11 S 0.2656 0.2967 0.5312  3 Dy 2.74
12 S 0.7490 0.6954 0.9722  1 Ga 2.61, 2 Dy 2.77
13 S 0.2510 0.3046 0.0278  1 Ga 2.61, 2 Dy 2.77
14 S 0.7344 0.7033 0.4688  3 Dy 2.74
15 S 0.7764 0.3043 0.5528  1 Ga 2.62, 2 Dy 2.76
16 S 0.7768 0.3046 0.0278  1 Ga 2.61, 2 Dy 2.77

Energy relative to the elements, uncorrected   -25.30 eV per formula unit
Space group   R-3m, No. 166
Crystal system   trigonal

***

(2)
The following is a PBE calculation of crystalline K3Dy3GaS8 at its relaxed geometry, from Alexandria via LeMat-Bulk.

a b c (Å): 7.8742 7.8792 8.8116
angles (deg): 116.59 90.00 119.98
With the nearest neighbours (Å) after each atom.
Atoms (fractional coordinates):
1 K 0.0000 0.0000 0.0000  6 S 3.20-3.22
2 K 0.0000 0.5000 0.0000  6 S 3.20-3.22
3 K 0.5000 0.5000 0.0000  6 S 3.20-3.22
4 Dy 0.5000 0.0000 0.5000  6 S 2.74-2.75
5 Dy 0.5000 0.5000 0.5000  6 S 2.74-2.75
6 Dy 0.0000 0.5000 0.5000  6 S 2.74-2.75
7 Ga 0.0000 0.0000 0.5000  6 S 2.56
8 S 0.2659 0.5317 0.2976  3 Dy 2.74
9 S 0.7341 0.4683 0.7024  3 Dy 2.74
10 S 0.7812 0.5623 0.3107  1 Ga 2.56, 2 Dy 2.75
11 S 0.2188 0.4377 0.6893  1 Ga 2.56, 2 Dy 2.75
12 S 0.7809 0.0297 0.3104  1 Ga 2.56, 2 Dy 2.75
13 S 0.2191 0.9703 0.6896  1 Ga 2.56, 2 Dy 2.75
14 S 0.2488 0.0297 0.3104  1 Ga 2.56, 2 Dy 2.75
15 S 0.7512 0.9703 0.6896  1 Ga 2.56, 2 Dy 2.75

Energy relative to the elements, uncorrected   -22.33 eV per formula unit
Space group   R-3m, No. 166
Crystal system   trigonal

***

(3)
The following is a PBE calculation of crystalline K3Dy3GaSe8 at its relaxed geometry, from Alexandria via LeMat-Bulk.

a b c (Å): 8.1672 8.1738 9.2279
angles (deg): 116.32 90.00 119.97
With the nearest neighbours (Å) after each atom.
Atoms (fractional coordinates):
1 K 0.0000 0.0000 0.0000  6 Se 3.31-3.34
2 K 0.0000 0.5000 0.0000  6 Se 3.31-3.34
3 K 0.5000 0.5000 0.0000  6 Se 3.31-3.34
4 Dy 0.5000 0.0000 0.5000  6 Se 2.87
5 Dy 0.5000 0.5000 0.5000  6 Se 2.87-2.88
6 Dy 0.0000 0.5000 0.5000  6 Se 2.87-2.88
7 Ga 0.0000 0.0000 0.5000  6 Se 2.71
8 Se 0.2645 0.5291 0.2937  3 Dy 2.87
9 Se 0.7355 0.4709 0.7063  3 Dy 2.87
10 Se 0.7781 0.5561 0.3058  1 Ga 2.71, 2 Dy 2.88
11 Se 0.2219 0.4439 0.6942  1 Ga 2.71, 2 Dy 2.88
12 Se 0.7776 0.0279 0.3054  1 Ga 2.71, 2 Dy 2.87
13 Se 0.2224 0.9721 0.6946  1 Ga 2.71, 2 Dy 2.87
14 Se 0.2505 0.0279 0.3054  1 Ga 2.71, 2 Dy 2.87
15 Se 0.7495 0.9721 0.6946  1 Ga 2.71, 2 Dy 2.87

Energy relative to the elements, uncorrected   -20.91 eV per formula unit
Space group   C2/m, No. 12
Crystal system   monoclinic

***

(4)
The following is a PBE calculation of crystalline K2DyGaTe4 at its relaxed geometry, from Alexandria via LeMat-Bulk.

a b c (Å): 7.4000 7.1996 7.1996
angles (deg): 74.69 59.07 59.07
With the nearest neighbours (Å) after each atom.
Atoms (fractional coordinates):
1 K 0.0000 0.5000 0.5000  8 Te 3.62-3.83, 2 K 3.70
2 K 0.5000 0.5000 0.5000  8 Te 3.62-3.83, 2 K 3.70
3 Dy 0.0000 0.0000 0.0000  4 Te 2.98
4 Ga 0.5000 0.0000 0.0000  4 Te 2.70
5 Te 0.1053 0.3477 0.0000  1 Ga 2.70, 1 Dy 2.98
6 Te 0.8947 0.0000 0.6523  1 Ga 2.70, 1 Dy 2.98
7 Te 0.5471 0.0000 0.3477  1 Ga 2.70, 1 Dy 2.98
8 Te 0.4529 0.6523 0.0000  1 Ga 2.70, 1 Dy 2.98

Energy relative to the elements, uncorrected   -7.62 eV per formula unit
Space group   I-42m, No. 121
Crystal system   tetragonal

***

(5)
The following is a PBE calculation of crystalline KDyGaTe3 at its relaxed geometry, from Alexandria via LeMat-Bulk.

a b c (Å): 4.5193 9.5751 10.7291
angles (deg): 105.22 90.00 90.00
With the nearest neighbours (Å) after each atom.
Atoms (fractional coordinates):
1 K 0.2500 0.1943 0.2339  5 Te 3.55-3.74
2 K 0.7500 0.8057 0.7661  5 Te 3.55-3.74
3 Dy 0.2500 0.6578 0.1317  6 Te 3.05-3.24
4 Dy 0.7500 0.3422 0.8683  6 Te 3.05-3.24
5 Ga 0.2500 0.0765 0.6123  4 Te 2.73-2.96
6 Ga 0.7500 0.9235 0.3877  4 Te 2.73-2.96
7 Te 0.7500 0.8821 0.1262  1 Ga 2.73
8 Te 0.2500 0.1179 0.8738  1 Ga 2.73
9 Te 0.2500 0.7776 0.4435  3 Ga 2.80-2.96
10 Te 0.7500 0.2224 0.5565  3 Ga 2.80-2.96
11 Te 0.7500 0.4484 0.1623  3 Dy 3.05-3.10
12 Te 0.2500 0.5516 0.8377  3 Dy 3.05-3.10

Energy relative to the elements, uncorrected   -5.67 eV per formula unit
Space group   P2_1/m, No. 11
Crystal system   monoclinic

***

(6)
The following is a PBE calculation of crystalline La5Dy4Ga4 at its relaxed geometry, from Alexandria via LeMat-Bulk.

a b c (Å): 4.9300 9.1244 9.1244
angles (deg): 85.81 74.33 74.33
With the nearest neighbours (Å) after each atom.
Atoms (fractional coordinates):
1 La 0.6949 0.9205 0.6896  5 Ga 3.21-3.59, 2 Dy 3.53
2 La 0.3051 0.0795 0.3104  5 Ga 3.21-3.59, 2 Dy 3.53
3 La 0.0000 0.0000 0.0000  4 Ga 3.21
4 La 0.6154 0.6896 0.0795  5 Ga 3.21-3.59, 2 Dy 3.53
5 La 0.3846 0.3104 0.9205  5 Ga 3.21-3.59, 2 Dy 3.53
6 Dy 0.9039 0.4931 0.6991  3 Ga 2.99-3.18
7 Dy 0.6030 0.3009 0.4931  3 Ga 2.99-3.18
8 Dy 0.0961 0.5069 0.3009  3 Ga 2.99-3.18
9 Dy 0.3970 0.6991 0.5069  3 Ga 2.99-3.18
10 Ga 0.7573 0.3314 0.1540  3 Dy 2.99-3.18, 4 La 3.21
11 Ga 0.2427 0.6686 0.8460  3 Dy 2.99-3.18, 4 La 3.21
12 Ga 0.9113 0.8460 0.3314  3 Dy 2.99-3.18, 4 La 3.21
13 Ga 0.0887 0.1540 0.6686  3 Dy 2.99-3.18, 4 La 3.21

Space group   I4/m, No. 87
DFT formation energy   -371 meV/atom
Crystal system   tetragonal

***

(7)
The following is a PBE calculation of crystalline LaDy2Ga at its relaxed geometry, from Alexandria via LeMat-Bulk.

a b c (Å): 3.5555 3.5555 9.0472
angles (deg): 90.00 90.00 90.00
With the nearest neighbours (Å) after each atom.
Atoms (fractional coordinates):
1 La 0.5000 0.5000 0.5000  4 La 3.56, 8 Dy 3.69
2 Ga 0.5000 0.5000 0.0000  8 Dy 3.11
3 Dy 0.0000 0.0000 0.7981  4 Ga 3.11
4 Dy 0.0000 0.0000 0.2019  4 Ga 3.11

Space group   P4/mmm, No. 123
DFT formation energy   -280 meV/atom
Crystal system   tetragonal
Energy relative to the lowest polymorph listed for this composition   0.0 meV/atom

***

(8)
The following is a PBE calculation of crystalline La3Dy4Ga4 at its relaxed geometry, from Alexandria via LeMat-Bulk.

a b c (Å): 4.8157 7.8234 9.4138
angles (deg): 114.55 104.82 90.00
With the nearest neighbours (Å) after each atom.
Atoms (fractional coordinates):
1 La 0.1083 0.1083 0.2167  4 Ga 3.30, 4 Dy 3.46, 1 La 3.56
2 La 0.8917 0.8917 0.7833  4 Ga 3.30, 4 Dy 3.46, 1 La 3.56
3 La 0.0000 0.5000 0.0000  6 Ga 3.43-3.48
4 Dy 0.3285 0.1176 0.6569  4 Ga 2.95-3.00, 1 Dy 3.30
5 Dy 0.6715 0.4607 0.3431  4 Ga 2.95-3.00, 1 Dy 3.30
6 Dy 0.6715 0.8824 0.3431  4 Ga 2.95-3.00, 1 Dy 3.30
7 Dy 0.3285 0.5393 0.6569  4 Ga 2.95-3.00, 1 Dy 3.30
8 Ga 0.2088 0.7088 0.4175  6 Dy 2.98-3.00
9 Ga 0.7912 0.2912 0.5825  6 Dy 2.98-3.00
10 Ga 0.5000 0.8220 0.0000  1 Ga 2.79, 2 Dy 2.95
11 Ga 0.5000 0.1780 0.0000  1 Ga 2.79, 2 Dy 2.95

Space group   Immm, No. 71
DFT formation energy   -406 meV/atom
Crystal system   orthorhombic

***

(9)
The following is a PBE calculation of crystalline La4Dy3Ga4 at its relaxed geometry, from Alexandria via LeMat-Bulk.

a b c (Å): 3.5453 9.1854 10.6317
angles (deg): 115.59 99.60 90.00
With the nearest neighbours (Å) after each atom.
Atoms (fractional coordinates):
1 La 0.3337 0.1645 0.6675  1 La 3.11, 4 Ga 3.19-3.28
2 La 0.6663 0.4970 0.3325  1 La 3.11, 4 Ga 3.19-3.28
3 La 0.6663 0.8355 0.3325  1 La 3.11, 4 Ga 3.19-3.28
4 La 0.3337 0.5030 0.6675  1 La 3.11, 4 Ga 3.19-3.28
5 Dy 0.0907 0.0907 0.1814  6 Ga 2.98-3.21
6 Dy 0.9093 0.9093 0.8186  6 Ga 2.98-3.21
7 Dy 0.0000 0.5000 0.0000  4 Ga 3.10
8 Ga 0.2822 0.7822 0.5644  2 Dy 2.98, 6 La 3.19-3.21
9 Ga 0.7178 0.2178 0.4356  2 Dy 2.98, 6 La 3.19-3.21
10 Ga 0.5000 0.7764 0.0000  6 Dy 3.10-3.21, 2 La 3.28
11 Ga 0.5000 0.2236 0.0000  6 Dy 3.10-3.21, 2 La 3.28

Space group   Immm, No. 71
DFT formation energy   -419 meV/atom
Crystal system   orthorhombic

***

(10)
The following is a PBE calculation of crystalline LaDy3Ga3 at its relaxed geometry, from Alexandria via LeMat-Bulk.

a b c (Å): 9.1190 9.1190 7.6146
angles (deg): 53.22 53.22 60.00
With the nearest neighbours (Å) after each atom.
Atoms (fractional coordinates):
1 La 0.3208 0.3208 0.0377  6 Ga 3.00-3.07
2 La 0.6792 0.6792 0.9623  6 Ga 3.00-3.07
3 Dy 0.1540 0.6699 0.2718  4 Ga 2.93-3.26
4 Dy 0.9043 0.1540 0.2718  4 Ga 2.93-3.26
5 Dy 0.6699 0.9043 0.2718  4 Ga 2.93-3.26
6 Dy 0.3301 0.0957 0.7282  4 Ga 2.93-3.26
7 Dy 0.0957 0.8460 0.7282  4 Ga 2.93-3.26
8 Dy 0.8460 0.3301 0.7282  4 Ga 2.93-3.26
9 Ga 0.4663 0.6698 0.7862  4 Dy 2.93-3.26, 1 Ga 3.00, 2 La 3.00-3.07
10 Ga 0.6698 0.0776 0.7862  4 Dy 2.93-3.26, 1 Ga 3.00, 2 La 3.00-3.07
11 Ga 0.0776 0.4663 0.7862  4 Dy 2.93-3.26, 1 Ga 3.00, 2 La 3.00-3.07
12 Ga 0.9224 0.5337 0.2138  4 Dy 2.93-3.26, 1 Ga 3.00, 2 La 3.00-3.07
13 Ga 0.3302 0.9224 0.2138  4 Dy 2.93-3.26, 1 Ga 3.00, 2 La 3.00-3.07
14 Ga 0.5337 0.3302 0.2138  4 Dy 2.93-3.26, 1 Ga 3.00, 2 La 3.00-3.07

Space group   R-3, No. 148
DFT formation energy   -342 meV/atom
Crystal system   trigonal